HoMgMo2O6: optimized geometry, PBE with a Hubbard U.

Computed properties:
Total energy: -73.39 eV/f.u.
Space-group type: Pc
Total magnetization: 10.0 μB per cell

```
HoMgMo2O6
1.0
5.631 0.000 0.000
0.000 5.408 -0.005
0.000 5.355 7.923
Ho Mg Mo O
2 2 4 12
Cartesian
4.561 5.430 5.955
1.070 2.753 1.993
1.639 8.070 6.156
3.992 5.393 2.195
1.371 5.409 0.002
1.499 5.380 3.970
4.259 8.087 3.964
4.132 2.702 0.009
1.886 6.103 1.990
3.053 6.452 7.233
3.317 6.221 4.331
0.242 7.114 7.390
0.503 7.085 4.567
4.595 1.929 1.952
3.745 8.780 5.952
2.578 3.774 3.272
2.314 3.544 0.370
5.128 4.408 0.605
5.388 4.437 3.428
1.035 4.607 5.914
```